VASP calculation (PBE) on a relaxed structure of ZrPt.

## Properties
* DFT formation energy: -0.49 eV per atom

Lattice parameters (Å, degrees): 4.6249 4.6249 5.4404 90.00 90.00 120.00
Space group P6_3/mmc (No. 194)
Asymmetric unit:
Zr (0.3333, 0.6667, 0.2500) [2 per cell]
Pt (0.3333, 0.6667, 0.7500) [2 per cell]

---

VASP calculation (PBE) on a relaxed structure of ErCdHg3.

## Properties
* DFT formation energy: -0.25 eV per atom
* polymorph energy (0 for the lowest one): 0.000 eV/atom

Lattice parameters (Å, degrees): 5.0656 5.0913 9.4245 90.00 105.21 90.00
Space group P2_1/m (No. 11)
Asymmetric unit:
Er (0.1504, 0.2500, 0.3023) [2 per cell]
Cd (0.3475, 0.2500, 0.6957) [2 per cell]
Hg (0.0483, 0.7500, 0.0953) [2 per cell]
Hg (0.2479, 0.7500, 0.4970) [2 per cell]
Hg (0.4479, 0.7500, 0.8940) [2 per cell]

---

VASP calculation (PBE) on a relaxed structure of AcNdAlGa.

## Properties
* DFT formation energy: -0.36 eV per atom
* polymorph energy (0 for the lowest one): 0.072 eV/atom

Lattice parameters (Å, degrees): 7.6766 7.6766 7.6766 90.00 90.00 90.00
Space group F-43m (No. 216)
Asymmetric unit:
Ac (0.0000, 0.0000, 0.0000) [4 per cell]
Nd (0.0000, 0.0000, 0.5000) [4 per cell]
Al (0.2500, 0.2500, 0.7500) [4 per cell]
Ga (0.2500, 0.2500, 0.2500) [4 per cell]